The following is a DFT calculation (PBE with a Hubbard U) of an optimized crystal structure of Na2SrWO4.

Properties
- N(E_F): 0.0 states/eV/f.u.
- Symmetry: No. 82
- E_tot: -47.5 eV per cell
- Magnetic moment: 0.05 μB per formula unit

Cell: 5.4445 5.4445 5.4445 Å, 101.97 113.34 113.34°
Last column: nearest neighbours and their distance in Å.
Fractional positions:
Na 0.5000 0.7500 0.2500  4 O 2.50
Na 0.0000 0.0000 0.0000  4 O 2.34
Sr 0.5000 0.2500 0.7500  8 O 2.65-2.82
W 0.0000 0.5000 0.5000  4 O 1.92
O 0.5500 0.3169 0.2680  1 W 1.92
O 0.9511 0.2330 0.6831  1 W 1.92
O 0.0489 0.7320 0.2819  1 W 1.92
O 0.4500 0.7181 0.7670  1 W 1.92